Record 1
{
  "formula": "Ba2Hg2Bi",
  "functional": "GGA-PBE",
  "state": "relaxed",
  "vol_a3_per_atom": 40.530,
  "space_group": "I4/mmm",
  "e_above_lowest_polymorph_ev_per_fu": 0.92,
  "lattice_angstrom": [[-2.332, -4.139, 4.605], [5.507, 0.862, 3.563], [-0.392, 1.922, 6.283]],
  "species": ["Ba", "Ba", "Bi", "Hg", "Hg"],
  "frac_coords": [[0.750, 0.250, 0.500], [0.250, 0.750, 0.500], [0.000, 0.000, 0.000], [0.348, 0.348, 0.304], [0.652, 0.652, 0.696]]
}

=====

Record 2
{
  "formula": "PPb",
  "functional": "GGA-PBE",
  "state": "relaxed",
  "vol_a3_per_atom": 25.194,
  "space_group": "P-6m2",
  "dft_energy_ev_per_atom": -4.25,
  "lattice_angstrom": [[0.755, 0.745, -3.847], [-1.009, -3.683, 1.158], [-3.524, 0.797, -0.537]],
  "species": ["P", "Pb"],
  "frac_coords": [[0.000, 0.000, 0.000], [0.667, 0.333, 0.500]]
}

=====

Record 3
{
  "formula": "TbNd2TmBi5",
  "functional": "GGA-PBE",
  "state": "relaxed",
  "vol_a3_per_atom": 39.282,
  "space_group": "P4/mmm",
  "dft_energy_ev_per_atom": -4.31,
  "lattice_angstrom": [[5.461, 0.000, 0.000], [0.000, 5.461, 0.000], [0.000, 0.000, 11.857]],
  "species": ["Tb", "Nd", "Nd", "Tm", "Bi", "Bi", "Bi", "Bi", "Bi"],
  "frac_coords": [[0.000, 0.000, 0.500], [0.500, 0.500, 0.277], [0.500, 0.500, 0.723], [0.000, 0.000, 0.000], [0.000, 0.500, 0.500], [0.500, 0.000, 0.500], [0.000, 0.000, 0.756], [0.000, 0.000, 0.244], [0.500, 0.500, 0.000]]
}